Entry from the Alexandria database: crystalline Ca3Zn2AgAu9 at its relaxed geometry (PBE-GGA).

a = 5.861 Å, b = 5.861 Å, c = 12.156 Å
α = 90.00°, β = 90.00°, γ = 120.00°
Fractional positions:
Ca1 0.333 0.667 0.576
Ca2 0.000 0.000 0.000
Ca3 0.667 0.333 0.424
Zn1 0.333 0.667 0.162
Zn2 0.667 0.333 0.838
Ag1 0.000 0.000 0.500
Au1 0.834 0.166 0.678
Au2 0.834 0.667 0.678
Au3 0.333 0.166 0.678
Au4 0.667 0.834 0.322
Au5 0.166 0.333 0.322
Au6 0.166 0.834 0.322
Au7 0.500 0.000 0.000
Au8 0.000 0.500 0.000
Au9 0.500 0.500 0.000

Calculated values
- Total DFT energy (no corrections): -3.036 eV/atom
- Formation energy: -0.309 eV/atom
- Size of the total moment: 0.000 μB/atom
- Space-group type: P-3m1 (164)